A relaxed structure of CaSmEr2. Source: Alexandria via LeMat-Bulk, functional PBE.

V = 136 Å³ per cell
Relative energy among the computed polymorphs = 14 meV/atom
Calculated formation energy = 0.0825 eV per atom
VASP energy = -3.8791 eV per atom

abc: 3.625 3.625 10.324
angles: 90.00 90.00 90.00
Sites, in units of the cell vectors:
Ca 0.500 0.500 0.500
Sm 0.500 0.500 0.000
Er 0.000 0.000 0.768
Er 0.000 0.000 0.232



A relaxed structure of CsAg2SeCl8. Source: Alexandria via LeMat-Bulk, functional PBE.

V = 400 Å³ per cell
VASP energy = -2.6508 eV per atom

abc: 6.079 6.233 10.927
angles: 75.46 88.06 86.77
Sites, in units of the cell vectors:
Cs 0.000 0.000 0.500
Ag 0.447 0.508 0.812
Ag 0.553 0.492 0.188
Se 0.000 0.000 0.000
Cl 0.180 0.728 0.174
Cl 0.710 0.744 0.995
Cl 0.799 0.144 0.163
Cl 0.820 0.272 0.826
Cl 0.290 0.256 0.005
Cl 0.201 0.856 0.837
Cl 0.519 0.707 0.599
Cl 0.481 0.293 0.401



A relaxed structure of KReCl4. Source: Alexandria via LeMat-Bulk, functional PBE.

V = 407 Å³ per cell
Relative energy among the computed polymorphs = 0 meV/atom
VASP energy = -4.3010 eV per atom

abc: 9.028 9.797 6.415
angles: 99.90 105.56 125.07
Sites, in units of the cell vectors:
K 0.421 0.192 0.902
K 0.579 0.808 0.098
Re 0.009 0.708 0.013
Re 0.991 0.292 0.987
Cl 0.223 0.606 0.266
Cl 0.773 0.982 0.730
Cl 0.201 0.780 0.802
Cl 0.789 0.636 0.187
Cl 0.777 0.394 0.734
Cl 0.799 0.220 0.198
Cl 0.227 0.018 0.270
Cl 0.211 0.364 0.813



A relaxed structure of HoU2Pt9. Source: Alexandria via LeMat-Bulk, functional PBE.

V = 213 Å³ per cell
Calculated formation energy = -0.8614 eV per atom
VASP energy = -7.6548 eV per atom

abc: 4.143 4.143 12.411
angles: 90.00 90.00 90.00
Sites, in units of the cell vectors:
Ho 0.000 0.000 0.000
U 0.000 0.000 0.331
U 0.000 0.000 0.669
Pt 0.500 0.500 0.000
Pt 0.500 0.500 0.333
Pt 0.500 0.500 0.667
Pt 0.500 0.000 0.168
Pt 0.500 0.000 0.500
Pt 0.500 0.000 0.832
Pt 0.000 0.500 0.168
Pt 0.000 0.500 0.500
Pt 0.000 0.500 0.832



A relaxed structure of BeReAg3. Source: Alexandria via LeMat-Bulk, functional PBE.

V = 133 Å³ per cell
Relative energy among the computed polymorphs = 949 meV/atom
Calculated formation energy = 2.0783 eV per atom
VASP energy = -2.8674 eV per atom

abc: 5.105 5.105 5.105
angles: 90.00 90.00 90.00
Sites, in units of the cell vectors:
Re 0.000 0.000 0.000
Ag 0.000 0.500 0.000
Ag 0.000 0.000 0.500
Ag 0.500 0.000 0.000
Be 0.500 0.500 0.500



A relaxed structure of PmVGe3. Source: Alexandria via LeMat-Bulk, functional PBE.

V = 106 Å³ per cell
Relative energy among the computed polymorphs = 290 meV/atom
Calculated formation energy = -0.2112 eV per atom
VASP energy = -5.7555 eV per atom

abc: 4.735 4.735 4.735
angles: 90.00 90.00 90.00
Sites, in units of the cell vectors:
Ge 0.000 0.500 0.000
Ge 0.000 0.000 0.500
Ge 0.500 0.000 0.000
V 0.000 0.000 0.000
Pm 0.500 0.500 0.500



> The highest V belongs to which entry?

KReCl4